Record 1
Crystalline Li3ScPb2 at its relaxed geometry, computed with PBE.

Structure (POSCAR):
```
Li3ScPb2
1.0
4.814 0.000 0.000
0.000 8.309 0.000
0.000 0.000 6.317
Li Sc Pb
6 2 4
Cartesian
0.000 0.005 0.000 Li
0.000 2.643 1.586 Li
0.000 5.666 4.745 Li
0.000 8.304 3.158 Li
2.407 1.346 4.735 Li
2.407 6.963 1.577 Li
2.407 4.153 0.003 Sc
2.407 4.156 3.162 Sc
0.000 2.898 4.742 Pb
0.000 5.412 1.583 Pb
2.407 1.394 1.580 Pb
2.407 6.915 4.739 Pb
```

## Properties
* space group: No. 26
* magnetic moment: 0.00 μB/f.u.
* ΔE_f: -0.327 eV/atom

Record 2
Crystalline Li2ScPb at its relaxed geometry, computed with PBE.

Structure (POSCAR):
```
Li2ScPb
1.0
4.894 0.000 0.000
0.000 4.894 0.000
0.000 0.000 6.898
Li Sc Pb
4 2 2
Cartesian
0.000 0.000 0.000 Li
0.000 2.447 1.725 Li
2.447 0.000 5.174 Li
2.447 2.447 3.449 Li
0.000 2.447 5.174 Sc
2.447 0.000 1.725 Sc
0.000 0.000 3.449 Pb
2.447 2.447 0.000 Pb
```

## Properties
* space group: No. 119
* magnetic moment: 0.00 μB/f.u.
* ΔE_f: -0.268 eV/atom